Compound: LaCo5As3
Source: the Alexandria database
Functional: GGA-PBE
Structure: relaxed

Cell lengths 3.7655, 6.2559, 11.8017 Å; angles 90.00, 90.00, 107.51 degrees
Sites, in units of the cell vectors:
Co: 0.1936 0.3871 0.5679
Co: 0.5531 0.1062 0.8582
Co: 0.4469 0.8938 0.1418
Co: 0.0000 0.0000 0.0000
Co: 0.8064 0.6129 0.4321
Co: 0.1936 0.3871 0.9321
Co: 0.0000 0.0000 0.5000
Co: 0.4469 0.8938 0.3582
Co: 0.5531 0.1062 0.6418
Co: 0.8064 0.6129 0.0679
La: 0.8338 0.6676 0.7500
La: 0.1662 0.3324 0.2500
As: 0.6195 0.2390 0.0418
As: 0.3805 0.7610 0.9582
As: 0.6195 0.2390 0.4582
As: 0.1061 0.2123 0.7500
As: 0.3805 0.7610 0.5418
As: 0.8939 0.7877 0.2500

- ΔH_f (0 K): -0.50 eV per atom
- Magnetic moment: 0.00 μB/cell
- Volume: 14.729 Å³ per atom